Arrangement one

Y2ErRh: optimized geometry, GGA-PBE.

a b c (Å): 7.1603 9.4614 6.3409
angles (deg): 90.00 90.00 90.00
Space group Pnma (No. 62)
Inequivalent atoms, fractional coordinates:
Y1 0.1786 0.0635 0.1743 [8 per cell]
Er1 0.0371 0.2500 0.6382 [4 per cell]
Rh1 0.1164 0.7500 0.9559 [4 per cell]

Output
- total moment (μB/f.u.) = 0.0



Arrangement two

Y2ErRh: optimized geometry, GGA-PBE.

a b c (Å): 3.5988 3.5988 31.5592
angles (deg): 90.00 90.00 120.00
Space group R-3m (No. 166, hexagonal axes)
Inequivalent atoms, fractional coordinates:
Y1 0.0000 0.0000 0.1090 [6 per cell]
Er1 0.0000 0.0000 0.0000 [3 per cell]
Rh1 0.0000 0.0000 0.5000 [3 per cell]

Output
- total moment (μB/f.u.) = 0.5



Arrangement three

Y2ErRh: optimized geometry, GGA-PBE.

a b c (Å): 3.8028 11.9670 9.4007
angles (deg): 90.00 90.00 90.00
Space group Cmcm (No. 63)
Inequivalent atoms, fractional coordinates:
Y1 0.0000 0.1379 0.0674 [8 per cell]
Er1 0.0000 0.4223 0.2500 [4 per cell]
Rh1 0.0000 0.2509 0.7500 [4 per cell]

Output
- total moment (μB/f.u.) = 0.0



arrangement one is preferred energetically. Next in line: 3.1 kJ/mol of atoms higher.



Arrangement one

YEr2Rh: optimized geometry, GGA-PBE.

a b c (Å): 3.4813 3.4813 8.5447
angles (deg): 90.00 90.00 90.00
Space group P4/mmm (No. 123)
Inequivalent atoms, fractional coordinates:
Y1 0.0000 0.0000 0.0000 [1 per cell]
Er1 0.5000 0.5000 0.3120 [2 per cell]
Rh1 0.0000 0.0000 0.5000 [1 per cell]

Output
- total moment (μB/f.u.) = 0.1



Arrangement two

YEr2Rh: optimized geometry, GGA-PBE.

a b c (Å): 7.1570 9.3535 6.2906
angles (deg): 90.00 90.00 90.00
Space group Pnma (No. 62)
Inequivalent atoms, fractional coordinates:
Y1 0.0330 0.2500 0.1325 [4 per cell]
Er1 0.1772 0.0632 0.6713 [8 per cell]
Rh1 0.1156 0.7500 0.4404 [4 per cell]

Output
- total moment (μB/f.u.) = 0.0



Arrangement three

YEr2Rh: optimized geometry, GGA-PBE.

a b c (Å): 3.8236 3.8236 26.9115
angles (deg): 90.00 90.00 120.00
Space group R3m (No. 160, hexagonal axes)
Inequivalent atoms, fractional coordinates:
Y1 0.0000 0.0000 0.0000 [3 per cell]
Er1 0.0000 0.0000 0.5575 [3 per cell]
Er2 0.0000 0.0000 0.7719 [3 per cell]
Rh1 0.0000 0.0000 0.1645 [3 per cell]

Output
- total moment (μB/f.u.) = 0.4



Arrangement four

YEr2Rh: optimized geometry, GGA-PBE.

a b c (Å): 3.8224 11.8660 9.2399
angles (deg): 90.00 90.00 90.00
Space group Cmcm (No. 63)
Inequivalent atoms, fractional coordinates:
Y1 0.0000 0.0727 0.2500 [4 per cell]
Er1 0.0000 0.3604 0.0665 [8 per cell]
Rh1 0.0000 0.2440 0.7500 [4 per cell]

Output
- total moment (μB/f.u.) = 0.0



arrangement two is preferred energetically. Next in line: 2.8 kJ/mol of atoms higher.



Arrangement one

YEr3Rh2: optimized geometry, GGA-PBE.

a b c (Å): 6.6641 13.4979 7.0234
angles (deg): 90.00 90.00 90.00
Space group Ibam (No. 72)
Inequivalent atoms, fractional coordinates:
Y1 0.0000 0.0000 0.0000 [4 per cell]
Er1 0.0000 0.2326 0.2500 [8 per cell]
Er2 0.0000 0.5000 0.2500 [4 per cell]
Rh1 0.2094 0.3608 0.0000 [8 per cell]

Output
- total moment (μB/f.u.) = 0.0



Arrangement two

YEr3Rh2: optimized geometry, GGA-PBE.

a b c (Å): 4.6229 8.6713 7.1664
angles (deg): 90.00 90.00 90.00
Space group Pmc2_1 (No. 26)
Inequivalent atoms, fractional coordinates:
Y1 0.0000 0.0839 0.0000 [2 per cell]
Er1 0.0000 0.3314 0.6292 [2 per cell]
Er2 0.5000 0.1715 0.3464 [2 per cell]
Er3 0.5000 0.4151 0.9750 [2 per cell]
Rh1 0.0000 0.3437 0.2331 [2 per cell]
Rh2 0.5000 0.1598 0.7420 [2 per cell]

Output
- total moment (μB/f.u.) = 0.0



arrangement two is preferred energetically. Next in line: 8.8 kJ/mol of atoms higher.



Arrangement one

Er3ZnRh: optimized geometry, GGA-PBE.

a b c (Å): 13.5508 10.5755 7.1547
angles (deg): 90.00 90.00 90.00
Space group Cmcm (No. 63)
Inequivalent atoms, fractional coordinates:
Er1 0.1278 0.0000 0.0000 [8 per cell]
Er2 0.1317 0.3317 0.0087 [16 per cell]
Zn1 0.0000 0.1759 0.7500 [4 per cell]
Zn2 0.0000 0.4900 0.7500 [4 per cell]
Rh1 0.2217 0.1520 0.2500 [8 per cell]

Output
- total moment (μB/f.u.) = 0.0



Arrangement two

Er3ZnRh: optimized geometry, GGA-PBE.

a b c (Å): 9.3206 6.2230 9.2717
angles (deg): 90.00 120.08 90.00
Space group C2/m (No. 12)
Inequivalent atoms, fractional coordinates:
Er1 0.0772 0.0000 0.2912 [4 per cell]
Er2 0.1953 0.5000 0.8908 [4 per cell]
Er3 0.2136 0.5000 0.2932 [4 per cell]
Zn1 0.0000 0.3034 0.5000 [4 per cell]
Rh1 0.0000 0.2504 0.0000 [4 per cell]

Output
- total moment (μB/f.u.) = 0.0



arrangement two is preferred energetically. Next in line: 12.3 kJ/mol of atoms higher.



Arrangement one

Er4ZnRh: optimized geometry, GGA-PBE.

a b c (Å): 6.8284 6.8285 6.8368
angles (deg): 90.00 90.10 90.00
Space group C2/m (No. 12)
Inequivalent atoms, fractional coordinates:
Er1 0.2497 0.2500 0.2419 [8 per cell]
Zn1 0.0000 0.0000 0.5000 [2 per cell]
Rh1 0.0000 0.5000 0.0000 [2 per cell]

Output
- total moment (μB/f.u.) = 0.0



Arrangement two

Er4ZnRh: optimized geometry, GGA-PBE.

a b c (Å): 13.2723 13.2723 13.2723
angles (deg): 90.00 90.00 90.00
Space group F-43m (No. 216)
Inequivalent atoms, fractional coordinates:
Er1 0.0000 0.0000 0.1857 [24 per cell]
Er2 0.0593 0.2500 0.7500 [24 per cell]
Er3 0.1048 0.1048 0.3952 [16 per cell]
Zn1 0.1711 0.1711 0.1711 [16 per cell]
Rh1 0.1059 0.1059 0.6059 [16 per cell]

Output
- total moment (μB/f.u.) = 0.0



arrangement two is preferred energetically. Next in line: 18.8 kJ/mol of atoms higher.



Arrangement one

Er4Ru: optimized geometry, GGA-PBE.

a b c (Å): 8.4677 8.4677 7.9229
angles (deg): 90.00 90.00 90.00
Space group I-42d (No. 122)
Inequivalent atoms, fractional coordinates:
Er1 0.0064 0.6966 0.4196 [16 per cell]
Ru1 0.0000 0.0000 0.5000 [4 per cell]

Output
- total moment (μB/f.u.) = 0.4



Arrangement two

Er4Ru: optimized geometry, GGA-PBE.

a b c (Å): 5.3333 5.3333 5.3333
angles (deg): 90.00 90.00 90.00
Space group Pm-3m (No. 221)
Inequivalent atoms, fractional coordinates:
Er1 0.0000 0.0000 0.0000 [1 per cell]
Er2 0.0000 0.5000 0.5000 [3 per cell]
Ru1 0.5000 0.5000 0.5000 [1 per cell]

Output
- total moment (μB/f.u.) = 0.0



arrangement one is preferred energetically. Next in line: 14.9 kJ/mol of atoms higher.



Arrangement one

ErSc2Ru2: optimized geometry, GGA-PBE.

a b c (Å): 3.3029 18.9204 3.2549
angles (deg): 90.00 90.00 90.00
Space group Cmmm (No. 65)
Inequivalent atoms, fractional coordinates:
Er1 0.0000 0.0000 0.0000 [2 per cell]
Sc1 0.0000 0.1707 0.0000 [4 per cell]
Ru1 0.0000 0.4034 0.5000 [4 per cell]

Output
- total moment (μB/f.u.) = 0.0



Arrangement two

ErSc2Ru2: optimized geometry, GGA-PBE.

a b c (Å): 5.3401 4.7127 8.1688
angles (deg): 90.00 90.06 90.00
Space group P2_1/m (No. 11)
Inequivalent atoms, fractional coordinates:
Er1 0.0462 0.2500 0.2551 [2 per cell]
Sc1 0.3414 0.7500 0.0578 [2 per cell]
Sc2 0.3608 0.2500 0.6034 [2 per cell]
Ru1 0.1563 0.7500 0.4217 [2 per cell]
Ru2 0.1600 0.2500 0.9138 [2 per cell]

Output
- total moment (μB/f.u.) = 0.0



arrangement one is preferred energetically. Next in line: 7.2 kJ/mol of atoms higher.



Arrangement one

ErSc3Ru: optimized geometry, GGA-PBE.

a b c (Å): 11.1191 7.9852 7.4529
angles (deg): 90.00 131.87 90.00
Space group C2/m (No. 12)
Inequivalent atoms, fractional coordinates:
Er1 0.0533 0.0000 0.2773 [4 per cell]
Sc1 0.0580 0.5000 0.3580 [4 per cell]
Sc2 0.2303 0.3055 0.1840 [8 per cell]
Ru1 0.2438 0.5000 0.8717 [4 per cell]

Output
- total moment (μB/f.u.) = 0.4



Arrangement two

ErSc3Ru: optimized geometry, GGA-PBE.

a b c (Å): 4.8644 6.3433 7.6748
angles (deg): 90.00 90.00 90.00
Space group Pmmn (No. 59, origin choice 2)
Inequivalent atoms, fractional coordinates:
Er1 0.2500 0.2500 0.0519 [2 per cell]
Sc1 0.2500 0.5139 0.6478 [4 per cell]
Sc2 0.2500 0.7500 0.2612 [2 per cell]
Ru1 0.2500 0.2500 0.3873 [2 per cell]

Output
- total moment (μB/f.u.) = 0.0



Arrangement three

ErSc3Ru: optimized geometry, GGA-PBE.

a b c (Å): 5.0394 5.0394 5.0394
angles (deg): 90.00 90.00 90.00
Space group Pm-3m (No. 221)
Inequivalent atoms, fractional coordinates:
Er1 0.0000 0.0000 0.0000 [1 per cell]
Sc1 0.0000 0.5000 0.5000 [3 per cell]
Ru1 0.5000 0.5000 0.5000 [1 per cell]

Output
- total moment (μB/f.u.) = 0.0



arrangement one is preferred energetically. Next in line: 2.8 kJ/mol of atoms higher.